one | AcGa2Cu3 after structural relaxation, computed with PBE.

Space group: P6_3/mcm

a b c (Å): 5.6972 5.6972 7.7904
angles (deg): 90.00 90.00 120.00
Last column: nearest neighbours and their distance in Å.
Atoms (fractional coordinates):
Ga 0.3333 0.6667 0.5000  6 Cu 2.55
Ga 0.3333 0.6667 0.0000  6 Cu 2.55
Ga 0.6667 0.3333 0.5000  6 Cu 2.55
Ga 0.6667 0.3333 0.0000  6 Cu 2.55
Cu 0.0000 0.4987 0.7500  4 Ga 2.55, 4 Cu 2.85
Cu 0.0000 0.5013 0.2500  4 Ga 2.55, 4 Cu 2.85
Cu 0.4987 0.4987 0.2500  4 Ga 2.55, 4 Cu 2.85
Cu 0.5013 0.5013 0.7500  4 Ga 2.55, 4 Cu 2.85
Cu 0.4987 0.0000 0.7500  4 Ga 2.55, 4 Cu 2.85
Cu 0.5013 0.0000 0.2500  4 Ga 2.55, 4 Cu 2.85
Ac 0.0000 0.0000 0.0000  6 Ga 3.29, 12 Cu 3.44-3.46
Ac 0.0000 0.0000 0.5000  6 Ga 3.29, 12 Cu 3.44-3.46

two | AcGa2Cu3 after structural relaxation, computed with PBE.

Space group: C2/m

a b c (Å): 4.2116 8.3934 7.2546
angles (deg): 114.07 90.00 104.53
Last column: nearest neighbours and their distance in Å.
Atoms (fractional coordinates):
Cu 0.0236 0.0472 0.3642  1 Cu 2.40, 3 Ga 2.43-2.52
Cu 0.3116 0.6232 0.5483  4 Ga 2.52-2.57, 3 Cu 2.55-2.78
Cu 0.5853 0.1707 0.6368  3 Ga 2.53-2.60, 6 Cu 2.55-2.77
Cu 0.6884 0.3768 0.4517  4 Ga 2.52-2.57, 3 Cu 2.55-2.78
Cu 0.9764 0.9528 0.6358  1 Cu 2.40, 3 Ga 2.43-2.52
Cu 0.4147 0.8293 0.3632  3 Ga 2.53-2.60, 6 Cu 2.55-2.77
Ga 0.5236 0.0473 0.1959  4 Cu 2.43-2.53, 1 Ga 2.61
Ga 0.4764 0.9527 0.8041  4 Cu 2.43-2.53, 1 Ga 2.61
Ga 0.1809 0.3618 0.6482  6 Cu 2.52-2.60
Ga 0.8191 0.6382 0.3518  6 Cu 2.52-2.60
Ac 0.1533 0.3065 0.0760  7 Cu 3.27-3.58, 7 Ga 3.32-3.44
Ac 0.8467 0.6935 0.9240  7 Cu 3.27-3.58, 7 Ga 3.32-3.44

Result of the stability comparison: two is the most stable of them.

one | Ac2GaCu after structural relaxation, computed with PBE.

Space group: P2_1/m

a b c (Å): 4.4616 6.5689 8.5408
angles (deg): 109.15 90.00 90.00
Last column: nearest neighbours and their distance in Å.
Atoms (fractional coordinates):
Ga 0.7500 0.6422 0.2875  2 Cu 2.67
Ga 0.2500 0.3578 0.7125  2 Cu 2.67
Ac 0.2500 0.7805 0.0556  3 Cu 3.24-3.26, 3 Ga 3.30-3.31
Ac 0.7500 0.2053 0.4117  3 Cu 3.24-3.28, 4 Ga 3.30-3.50
Ac 0.7500 0.2195 0.9444  3 Cu 3.24-3.26, 3 Ga 3.30-3.31
Ac 0.2500 0.7947 0.5883  3 Cu 3.24-3.28, 4 Ga 3.30-3.50
Cu 0.7500 0.5933 0.7698  2 Ga 2.67
Cu 0.2500 0.4067 0.2302  2 Ga 2.67

two | Ac2GaCu after structural relaxation, computed with PBE.

Space group: R-3m

a b c (Å): 3.9060 3.9060 10.7969
angles (deg): 79.58 79.58 60.00
Last column: nearest neighbours and their distance in Å.
Atoms (fractional coordinates):
Ac 0.0935 0.0935 0.7195  1 Cu 2.96, 3 Ga 3.23
Ac 0.9065 0.9065 0.2805  1 Cu 2.96, 3 Ga 3.23
Ga 0.5000 0.5000 0.5000  6 Ac 3.23
Cu 0.0000 0.0000 0.0000  2 Ac 2.96

Result of the stability comparison: one is the most stable of them.

one | Ac2GaCu after structural relaxation, computed with PBE.

Space group: Fm-3m

a b c (Å): 5.4770 5.4770 5.4770
angles (deg): 60.00 60.00 60.00
Last column: nearest neighbours and their distance in Å.
Atoms (fractional coordinates):
Ac 0.2500 0.2500 0.2500  4 Cu 3.35, 4 Ga 3.35
Ac 0.7500 0.7500 0.7500  4 Cu 3.35, 4 Ga 3.35
Ga 0.0000 0.0000 0.0000  8 Ac 3.35
Cu 0.5000 0.5000 0.5000  8 Ac 3.35

two | Ac2GaCu after structural relaxation, computed with PBE.

Space group: Immm

a b c (Å): 4.6061 7.9956 7.8713
angles (deg): 104.73 107.01 90.00
Last column: nearest neighbours and their distance in Å.
Atoms (fractional coordinates):
Cu 0.0002 0.7500 0.0000  2 Ga 2.30
Cu 0.9998 0.2500 0.0000  2 Ga 2.30
Ac 0.8467 0.9232 0.6932  2 Cu 2.99
Ac 0.1533 0.0768 0.3068  2 Cu 2.99
Ac 0.8465 0.4232 0.6932  2 Cu 2.99
Ac 0.1535 0.5768 0.3068  2 Cu 2.99
Ga 0.5001 0.7500 0.0000  2 Cu 2.30
Ga 0.4999 0.2500 0.0000  2 Cu 2.30

three | Ac2GaCu after structural relaxation, computed with PBE.

Space group: P4/mmm

a b c (Å): 3.8580 3.8580 7.7616
angles (deg): 90.00 90.00 90.00
Last column: nearest neighbours and their distance in Å.
Atoms (fractional coordinates):
Ac 0.0000 0.0000 0.2464  4 Cu 3.33, 4 Ga 3.36
Ac 0.0000 0.0000 0.7536  4 Cu 3.33, 4 Ga 3.36
Cu 0.5000 0.5000 0.0000  8 Ac 3.33
Ga 0.5000 0.5000 0.5000  8 Ac 3.36

Result of the stability comparison: one is the most stable of them.

one | Ac2Ga3Cu2 after structural relaxation, computed with PBE.

Space group: Cmcm

a b c (Å): 4.6048 7.2092 10.0033
angles (deg): 90.00 103.31 90.00
Last column: nearest neighbours and their distance in Å.
Atoms (fractional coordinates):
Ac 0.9418 0.2500 0.8837  9 Ga 3.19-3.48, 4 Cu 3.53
Ac 0.1660 0.2500 0.3319  6 Ga 3.17-3.34, 6 Cu 3.27-3.30
Ac 0.0582 0.7500 0.1163  9 Ga 3.19-3.48, 4 Cu 3.53
Ac 0.8340 0.7500 0.6681  6 Ga 3.17-3.34, 6 Cu 3.27-3.30
Cu 0.3207 0.0750 0.6414  1 Cu 2.52, 3 Ga 2.57-2.75
Cu 0.6793 0.5750 0.3586  1 Cu 2.52, 3 Ga 2.57-2.75
Cu 0.3207 0.4250 0.6414  1 Cu 2.52, 3 Ga 2.57-2.75
Cu 0.6793 0.9250 0.3586  1 Cu 2.52, 3 Ga 2.57-2.75
Ga 0.2218 0.7500 0.4436  6 Cu 2.75-3.03
Ga 0.7782 0.2500 0.5564  6 Cu 2.75-3.03
Ga 0.5594 0.0755 0.1189  2 Ga 2.52-2.56, 1 Cu 2.57
Ga 0.4406 0.9245 0.8811  2 Ga 2.52-2.56, 1 Cu 2.57
Ga 0.4406 0.5755 0.8811  2 Ga 2.52-2.56, 1 Cu 2.57
Ga 0.5594 0.4245 0.1189  2 Ga 2.52-2.56, 1 Cu 2.57

two | Ac2Ga3Cu2 after structural relaxation, computed with PBE.

Space group: C2/m

a b c (Å): 4.6011 5.8530 6.7557
angles (deg): 107.47 90.00 113.14
Last column: nearest neighbours and their distance in Å.
Atoms (fractional coordinates):
Ga 0.4034 0.8068 0.5869  3 Cu 2.59-2.78, 2 Ga 2.64-2.70
Ga 0.5966 0.1932 0.4131  3 Cu 2.59-2.78, 2 Ga 2.64-2.70
Ga 0.5000 0.0000 0.0000  2 Ga 2.64
Ac 0.1527 0.3054 0.7739  5 Cu 3.18-3.48, 8 Ga 3.26-3.55
Ac 0.8473 0.6946 0.2261  5 Cu 3.18-3.48, 8 Ga 3.26-3.55
Cu 0.8464 0.6929 0.7111  3 Ga 2.59-2.78
Cu 0.1536 0.3071 0.2889  3 Ga 2.59-2.78

Result of the stability comparison: one is the most stable of them.

one | AcGaCu4 after structural relaxation, computed with PBE.

Space group: Pmma

a b c (Å): 4.1650 7.8321 6.8740
angles (deg): 90.00 90.00 90.00
Last column: nearest neighbours and their distance in Å.
Atoms (fractional coordinates):
Cu 0.0000 0.0000 0.5000  2 Ga 2.48, 8 Cu 2.73
Cu 0.5000 0.2204 0.9421  2 Ga 2.47, 5 Cu 2.49-2.73
Cu 0.5000 0.9465 0.7500  8 Cu 2.49-2.73
Cu 0.5000 0.2204 0.5579  2 Ga 2.47, 5 Cu 2.49-2.73
Cu 0.5000 0.7796 0.0579  2 Ga 2.47, 5 Cu 2.49-2.73
Cu 0.0000 0.0000 0.0000  2 Ga 2.48, 8 Cu 2.73
Cu 0.5000 0.7796 0.4421  2 Ga 2.47, 5 Cu 2.49-2.73
Cu 0.5000 0.0535 0.2500  8 Cu 2.49-2.73
Ac 0.0000 0.3622 0.2500  8 Cu 3.17-3.32, 1 Ga 3.20
Ac 0.0000 0.6378 0.7500  8 Cu 3.17-3.32, 1 Ga 3.20
Ga 0.0000 0.7712 0.2500  6 Cu 2.47-2.48
Ga 0.0000 0.2288 0.7500  6 Cu 2.47-2.48

two | AcGaCu4 after structural relaxation, computed with PBE.

Space group: F-43m

a b c (Å): 5.2662 5.2662 5.2662
angles (deg): 60.00 60.00 60.00
Last column: nearest neighbours and their distance in Å.
Atoms (fractional coordinates):
Cu 0.6272 0.6272 0.1185  6 Cu 2.59-2.68
Cu 0.6272 0.1185 0.6272  6 Cu 2.59-2.68
Cu 0.6272 0.6272 0.6272  6 Cu 2.59-2.68
Cu 0.1185 0.6272 0.6272  6 Cu 2.59-2.68
Ga 0.0000 0.0000 0.0000  12 Cu 3.08, 4 Ac 3.22
Ac 0.2500 0.2500 0.2500  12 Cu 3.09, 4 Ga 3.22

Result of the stability comparison: two is the most stable of them.

one | Ac3Ga4Cu2 after structural relaxation, computed with PBE.

Space group: C2/m

a b c (Å): 4.5534 6.1653 8.8757
angles (deg): 104.49 90.00 111.67
Last column: nearest neighbours and their distance in Å.
Atoms (fractional coordinates):
Ac 0.3757 0.7515 0.3164  8 Ga 3.30-3.46, 4 Cu 3.31-3.33
Ac 0.6243 0.2485 0.6836  8 Ga 3.30-3.46, 4 Cu 3.31-3.33
Ac 0.0000 0.0000 0.0000  8 Ga 3.35-3.52
Ga 0.2775 0.5549 0.9309  1 Cu 2.54, 2 Ga 2.74
Ga 0.8885 0.7770 0.5899  2 Cu 2.53
Ga 0.7225 0.4451 0.0691  1 Cu 2.54, 2 Ga 2.74
Ga 0.1115 0.2230 0.4101  2 Cu 2.53
Cu 0.3329 0.6658 0.6728  3 Ga 2.53-2.54
Cu 0.6671 0.3342 0.3272  3 Ga 2.53-2.54

two | Ac3Ga4Cu2 after structural relaxation, computed with PBE.

Space group: C2/m

a b c (Å): 4.3451 6.3720 8.8881
angles (deg): 97.99 90.00 109.94
Last column: nearest neighbours and their distance in Å.
Atoms (fractional coordinates):
Ac 0.3310 0.6620 0.3349  8 Ga 3.39-3.47, 4 Cu 3.41-3.45
Ac 0.0000 0.0000 0.0000  8 Ga 3.38-3.47, 4 Cu 3.39
Ac 0.6690 0.3380 0.6651  8 Ga 3.39-3.47, 4 Cu 3.41-3.45
Ga 0.9469 0.8938 0.6163  2 Cu 2.50, 1 Ga 2.58
Ga 0.0531 0.1062 0.3837  2 Cu 2.50, 1 Ga 2.58
Ga 0.7208 0.4415 0.0602  1 Cu 2.50, 2 Ga 2.56
Ga 0.2792 0.5585 0.9398  1 Cu 2.50, 2 Ga 2.56
Cu 0.6090 0.2180 0.2767  3 Ga 2.50
Cu 0.3910 0.7820 0.7233  3 Ga 2.50

Result of the stability comparison: two is the most stable of them.